Entry 1:
A plane-wave DFT calculation with PBE was carried out for Pm3HoTl4S8 after structural relaxation.

Unit cell a=8.2311 b=8.8863 c=8.2317 alpha=117.61 beta=120.00 gamma=90.00
Positions (direct):
Pm: 0.5000 0.5000 0.0000
Pm: 0.5000 0.5000 0.5000
Pm: 0.0000 0.5000 0.5000
Ho: 0.0000 0.5000 0.0000
Tl: 0.5000 0.0000 0.0000
Tl: 0.5000 0.0000 0.5000
Tl: 0.0000 0.0000 0.0000
Tl: 0.0000 0.0000 0.5000
S: 0.2300 0.7006 0.9708
S: 0.2300 0.7006 0.4600
S: 0.2653 0.2962 0.5307
S: 0.7408 0.7006 0.9708
S: 0.2592 0.2994 0.0292
S: 0.7347 0.7038 0.4693
S: 0.7700 0.2994 0.5400
S: 0.7700 0.2994 0.0292

Calculated values
raw formation energy: -1469 meV/atom
space group: R-3m (166)
E: -5.301 eV per atom
N(E_F): 0.00 states/eV/cell



Entry 2:
A plane-wave DFT calculation with PBE was carried out for LaSc2Al after structural relaxation.

Unit cell a=3.7020 b=5.3695 c=5.0304 alpha=90.00 beta=90.00 gamma=90.00
Positions (direct):
Sc: 0.0000 0.0000 0.0000
Sc: 0.5000 0.5000 0.0000
Al: 0.5000 0.0000 0.5000
La: 0.0000 0.5000 0.5000

Calculated values
calculated formation energy: -8 kJ/mol of atoms
space group: Pmmm (47)
E: -5.418 eV per atom
N(E_F): 6.11 states/eV/cell



Entry 3:
A plane-wave DFT calculation with PBE was carried out for LaMgNi2H8 after structural relaxation.

Unit cell a=4.4379 b=4.4379 c=6.6483 alpha=90.00 beta=90.00 gamma=120.00
Last column: magnetic moment on the atom in μB.
Positions (direct):
La: 0.0000 0.0000 0.0000  0.02
Mg: 0.0000 0.0000 0.5000  0.00
Ni: 0.6667 0.3333 0.2879  0.12
Ni: 0.3333 0.6667 0.7121  0.12
H: 0.3333 0.6667 0.9471  0.00
H: 0.3174 0.3461 0.2998  0.00
H: 0.6539 0.9713 0.2998  0.00
H: 0.6667 0.3333 0.0529  0.00
H: 0.3461 0.0287 0.7002  0.00
H: 0.6826 0.6539 0.7002  0.00
H: 0.9713 0.3174 0.7002  0.00
H: 0.0287 0.6826 0.2998  0.00

Calculated values
space group: P-3 (147)
E: -3.852 eV per atom
N(E_F): 6.35 states/eV/cell



Entry 4:
A plane-wave DFT calculation with PBE was carried out for TbPrCd14 after structural relaxation.

Unit cell a=6.6788 b=6.6788 c=8.4741 alpha=90.00 beta=90.00 gamma=90.00
Positions (direct):
Tb: 0.3750 0.3750 0.5000
Pr: 0.8750 0.8750 0.5000
Cd: 0.8750 0.8750 0.0000
Cd: 0.3750 0.3750 0.0000
Cd: 0.8750 0.3750 0.5000
Cd: 0.8750 0.3750 0.0000
Cd: 0.3750 0.8750 0.5000
Cd: 0.3750 0.8750 0.0000
Cd: 0.6219 0.1281 0.2388
Cd: 0.6219 0.1281 0.7612
Cd: 0.1281 0.6219 0.2388
Cd: 0.1281 0.6219 0.7612
Cd: 0.6219 0.6219 0.2387
Cd: 0.6219 0.6219 0.7613
Cd: 0.1281 0.1281 0.2388
Cd: 0.1281 0.1281 0.7612

Calculated values
calculated formation energy: -14 kJ/mol of atoms
space group: P4/mmm (123)
E: -1.535 eV per atom
N(E_F): 5.66 states/eV/cell



Entry 5:
A plane-wave DFT calculation with PBE was carried out for Zn2PSe after structural relaxation.

Unit cell a=3.5028 b=3.5028 c=7.1027 alpha=90.00 beta=90.00 gamma=117.86
Positions (direct):
Zn: 0.0000 0.0000 0.2621
Zn: 0.0000 0.0000 0.7379
P: 0.5000 0.5000 0.5000
Se: 0.5000 0.5000 0.0000

Calculated values
raw formation energy: 164 meV/atom
space group: Cmmm (65)
E: -2.696 eV per atom
N(E_F): 1.73 states/eV/cell



Entry 6:
A plane-wave DFT calculation with PBE was carried out for PmY3In2 after structural relaxation.

Unit cell a=5.2557 b=6.7624 c=9.8597 alpha=90.00 beta=90.00 gamma=90.00
Positions (direct):
Pm: 0.5000 0.5331 0.5367
Pm: 0.5000 0.0331 0.4633
Y: 0.0000 0.4695 0.9608
Y: 0.0000 0.9695 0.0392
Y: 0.5000 0.6878 0.1778
Y: 0.5000 0.1878 0.8222
Y: 0.0000 0.3115 0.3177
Y: 0.0000 0.8115 0.6823
In: 0.5000 0.7145 0.8580
In: 0.5000 0.2145 0.1420
In: 0.0000 0.2836 0.6462
In: 0.0000 0.7836 0.3538

Calculated values
calculated formation energy: -37 kJ/mol of atoms
excess energy over the best structure of this formula in the dataset: 0 kJ/mol of formula units
space group: Pmc2_1 (26)
E: -5.321 eV per atom
N(E_F): 12.17 states/eV/cell



Entry 7:
A plane-wave DFT calculation with PBE was carried out for MgPN3 after structural relaxation.

Unit cell a=4.6833 b=8.1730 c=8.1730 alpha=104.22 beta=104.59 gamma=104.59
Positions (direct):
Mg: 0.7955 0.4244 0.2167
Mg: 0.2955 0.2167 0.4244
Mg: 0.7045 0.7833 0.5756
Mg: 0.2045 0.5756 0.7833
P: 0.2500 0.8158 0.1842
P: 0.2500 0.1809 0.8191
P: 0.7500 0.1842 0.8158
P: 0.7500 0.8191 0.1809
N: 0.5868 0.2155 0.9767
N: 0.0868 0.9767 0.2155
N: 0.9132 0.0233 0.7845
N: 0.4132 0.7845 0.0233
N: 0.6931 0.4098 0.4531
N: 0.1931 0.4531 0.4098
N: 0.8069 0.5469 0.5902
N: 0.3069 0.5902 0.5469
N: 0.9120 0.6585 0.1512
N: 0.4120 0.1512 0.6585
N: 0.5880 0.8488 0.3415
N: 0.0880 0.3415 0.8488

Calculated values
raw formation energy: -316 meV/atom
space group: C2/c (15)
E: -6.712 eV per atom



Entry 8:
A plane-wave DFT calculation with PBE was carried out for Co3RuCl after structural relaxation.

Unit cell a=4.6051 b=4.6051 c=4.6051 alpha=90.00 beta=90.00 gamma=90.00
Last column: magnetic moment on the atom in μB.
Positions (direct):
Ru: 0.0000 0.0000 0.0000  0.78
Co: 0.0000 0.5000 0.0000  1.94
Co: 0.0000 0.0000 0.5000  2.32
Co: 0.5000 0.0000 0.0000  1.50
Cl: 0.5000 0.5000 0.5000  0.11

Calculated values
raw formation energy: 1449 meV/atom
excess energy over the best structure of this formula in the dataset: 221 kJ/mol of formula units
space group: Pm-3m (221)
E: -5.039 eV per atom
N(E_F): 6.80 states/eV/cell